(1)
BeNiSe4: optimized geometry, PBE-GGA.

Properties
Formation energy without anion corrections in eV/atom: 1.097
ρ in Mg/m³: 5.21

The structure in CIF format:
```
data_BeNiSe4
_chemical_formula_sum 'Be1 Ni1 Se4'
_space_group_name_H-M_alt 'P 1'
_space_group_IT_number 1
_cell_length_a 5.570
_cell_length_b 5.570
_cell_length_c 5.570
_cell_angle_alpha 60.00
_cell_angle_beta 60.00
_cell_angle_gamma 60.00
loop_
_space_group_symop_operation_xyz
'x,y,z'
loop_
_atom_site_label
_atom_site_type_symbol
_atom_site_fract_x
_atom_site_fract_y
_atom_site_fract_z
Ni1 Ni 0.000 0.000 0.000
Se1 Se 0.375 0.875 0.375
Se2 Se 0.375 0.375 0.375
Se3 Se 0.375 0.375 0.875
Se4 Se 0.875 0.375 0.375
Be1 Be 0.750 0.750 0.750
```

(2)
BeNiSnSe2: optimized geometry, PBE-GGA.

Properties
Formation energy without anion corrections in eV/atom: 1.138
ρ in Mg/m³: 4.23

The structure in CIF format:
```
data_BeNiSnSe2
_chemical_formula_sum 'Be1 Ni1 Sn1 Se2'
_space_group_name_H-M_alt 'P 1'
_space_group_IT_number 1
_cell_length_a 5.356
_cell_length_b 4.716
_cell_length_c 5.356
_cell_angle_alpha 90.00
_cell_angle_beta 90.00
_cell_angle_gamma 90.00
loop_
_space_group_symop_operation_xyz
'x,y,z'
loop_
_atom_site_label
_atom_site_type_symbol
_atom_site_fract_x
_atom_site_fract_y
_atom_site_fract_z
Se1 Se 0.500 0.000 0.000
Se2 Se 0.000 0.000 0.500
Ni1 Ni 0.000 0.500 0.000
Be1 Be 0.500 0.500 0.500
Sn1 Sn 0.000 0.000 0.000
```

(3)
Be2NiWSe: optimized geometry, PBE-GGA.

Properties
Formation energy without anion corrections in eV/atom: 1.296
ρ in Mg/m³: 7.59

The structure in CIF format:
```
data_Be2NiWSe
_chemical_formula_sum 'Be2 Ni1 W1 Se1'
_space_group_name_H-M_alt 'P 1'
_space_group_IT_number 1
_cell_length_a 4.118
_cell_length_b 4.381
_cell_length_c 4.118
_cell_angle_alpha 90.00
_cell_angle_beta 90.00
_cell_angle_gamma 90.00
loop_
_space_group_symop_operation_xyz
'x,y,z'
loop_
_atom_site_label
_atom_site_type_symbol
_atom_site_fract_x
_atom_site_fract_y
_atom_site_fract_z
Se1 Se 0.000 0.000 0.000
W1 W 0.500 0.500 0.500
Be1 Be 0.000 0.000 0.500
Be2 Be 0.500 0.000 0.000
Ni1 Ni 0.000 0.500 0.000
```

(4)
ZrBeNi2Se: optimized geometry, PBE-GGA.

Properties
Formation energy without anion corrections in eV/atom: 0.414
ρ in Mg/m³: 6.11

The structure in CIF format:
```
data_ZrBeNi2Se
_chemical_formula_sum 'Zr1 Be1 Ni2 Se1'
_space_group_name_H-M_alt 'P 1'
_space_group_IT_number 1
_cell_length_a 4.367
_cell_length_b 4.225
_cell_length_c 4.367
_cell_angle_alpha 90.00
_cell_angle_beta 90.00
_cell_angle_gamma 90.00
loop_
_space_group_symop_operation_xyz
'x,y,z'
loop_
_atom_site_label
_atom_site_type_symbol
_atom_site_fract_x
_atom_site_fract_y
_atom_site_fract_z
Be1 Be 0.000 0.500 0.000
Se1 Se 0.000 0.000 0.000
Ni1 Ni 0.500 0.000 0.000
Ni2 Ni 0.000 0.000 0.500
Zr1 Zr 0.500 0.500 0.500
```

(5)
Be2SiNi3: optimized geometry, PBE-GGA.

Properties
Formation energy without anion corrections in eV/atom: -0.481
Energy relative to the lowest polymorph listed for this composition in eV per formula unit: 0.191
ρ in Mg/m³: 6.32

The structure in CIF format:
```
data_Be2SiNi3
_chemical_formula_sum 'Be4 Si2 Ni6'
_space_group_name_H-M_alt 'P 1'
_space_group_IT_number 1
_cell_length_a 3.854
_cell_length_b 6.100
_cell_length_c 5.235
_cell_angle_alpha 90.00
_cell_angle_beta 90.00
_cell_angle_gamma 71.59
loop_
_space_group_symop_operation_xyz
'x,y,z'
loop_
_atom_site_label
_atom_site_type_symbol
_atom_site_fract_x
_atom_site_fract_y
_atom_site_fract_z
Be1 Be 0.332 0.336 0.500
Be2 Be 0.668 0.664 0.500
Be3 Be 0.000 0.000 0.000
Be4 Be 0.000 0.000 0.500
Ni1 Ni 0.165 0.669 0.253
Ni2 Ni 0.835 0.331 0.253
Ni3 Ni 0.835 0.331 0.747
Ni4 Ni 0.165 0.669 0.747
Ni5 Ni 0.500 0.000 0.257
Ni6 Ni 0.500 0.000 0.743
Si1 Si 0.662 0.676 0.000
Si2 Si 0.338 0.324 0.000
```

(6)
Be2SiNi8: optimized geometry, PBE-GGA.

Properties
Formation energy without anion corrections in eV/atom: -0.242
Energy relative to the lowest polymorph listed for this composition in eV per formula unit: 0.444
ρ in Mg/m³: 7.47

The structure in CIF format:
```
data_Be2SiNi8
_chemical_formula_sum 'Be2 Si1 Ni8'
_space_group_name_H-M_alt 'P 1'
_space_group_IT_number 1
_cell_length_a 3.627
_cell_length_b 6.024
_cell_length_c 6.316
_cell_angle_alpha 118.48
_cell_angle_beta 106.69
_cell_angle_gamma 90.00
loop_
_space_group_symop_operation_xyz
'x,y,z'
loop_
_atom_site_label
_atom_site_type_symbol
_atom_site_fract_x
_atom_site_fract_y
_atom_site_fract_z
Ni1 Ni 0.660 0.443 0.320
Ni2 Ni 0.853 0.853 0.706
Ni3 Ni 0.000 0.691 0.000
Ni4 Ni 0.340 0.124 0.680
Ni5 Ni 0.000 0.309 0.000
Ni6 Ni 0.340 0.557 0.680
Ni7 Ni 0.660 0.876 0.320
Ni8 Ni 0.147 0.147 0.294
Be1 Be 0.804 0.304 0.608
Be2 Be 0.196 0.696 0.392
Si1 Si 0.500 0.000 0.000
```

(7)
BeSiNi: optimized geometry, PBE-GGA.

Properties
Formation energy without anion corrections in eV/atom: -0.280
Energy relative to the lowest polymorph listed for this composition in eV per formula unit: 0.112
ρ in Mg/m³: 5.05

The structure in CIF format:
```
data_BeSiNi
_chemical_formula_sum 'Be2 Si2 Ni2'
_space_group_name_H-M_alt 'P 1'
_space_group_IT_number 1
_cell_length_a 4.128
_cell_length_b 4.128
_cell_length_c 4.268
_cell_angle_alpha 90.00
_cell_angle_beta 90.00
_cell_angle_gamma 119.97
loop_
_space_group_symop_operation_xyz
'x,y,z'
loop_
_atom_site_label
_atom_site_type_symbol
_atom_site_fract_x
_atom_site_fract_y
_atom_site_fract_z
Si1 Si 0.593 0.407 0.750
Si2 Si 0.407 0.593 0.250
Be1 Be 0.919 0.081 0.750
Be2 Be 0.081 0.919 0.250
Ni1 Ni 0.249 0.751 0.750
Ni2 Ni 0.751 0.249 0.250
```

(8)
BeSiNi2: optimized geometry, PBE-GGA.

Properties
Formation energy without anion corrections in eV/atom: -0.343
Energy relative to the lowest polymorph listed for this composition in eV per formula unit: 0.744
ρ in Mg/m³: 6.14

The structure in CIF format:
```
data_BeSiNi2
_chemical_formula_sum 'Be1 Si1 Ni2'
_space_group_name_H-M_alt 'P 1'
_space_group_IT_number 1
_cell_length_a 2.612
_cell_length_b 3.353
_cell_length_c 4.775
_cell_angle_alpha 90.00
_cell_angle_beta 90.00
_cell_angle_gamma 90.00
loop_
_space_group_symop_operation_xyz
'x,y,z'
loop_
_atom_site_label
_atom_site_type_symbol
_atom_site_fract_x
_atom_site_fract_y
_atom_site_fract_z
Ni1 Ni 0.500 0.500 0.274
Ni2 Ni 0.000 0.000 0.963
Si1 Si 0.000 0.000 0.484
Be1 Be 0.500 0.500 0.778
```

(9)
BeSiNi2: optimized geometry, PBE-GGA.

Properties
Formation energy without anion corrections in eV/atom: -0.021
Energy relative to the lowest polymorph listed for this composition in eV per formula unit: 2.031
ρ in Mg/m³: 5.80

The structure in CIF format:
```
data_BeSiNi2
_chemical_formula_sum 'Be2 Si2 Ni4'
_space_group_name_H-M_alt 'P 1'
_space_group_IT_number 1
_cell_length_a 6.034
_cell_length_b 6.034
_cell_length_c 4.909
_cell_angle_alpha 52.08
_cell_angle_beta 52.08
_cell_angle_gamma 90.00
loop_
_space_group_symop_operation_xyz
'x,y,z'
loop_
_atom_site_label
_atom_site_type_symbol
_atom_site_fract_x
_atom_site_fract_y
_atom_site_fract_z
Ni1 Ni 0.595 0.125 0.250
Ni2 Ni 0.375 0.405 0.750
Ni3 Ni 0.155 0.625 0.250
Ni4 Ni 0.875 0.845 0.750
Si1 Si 0.750 0.250 0.500
Si2 Si 0.000 0.000 0.000
Be1 Be 0.500 0.500 0.000
Be2 Be 0.250 0.750 0.500
```

(10)
Be3SiNi: optimized geometry, PBE-GGA.

Properties
Formation energy without anion corrections in eV/atom: 0.575
Energy relative to the lowest polymorph listed for this composition in eV per formula unit: 2.227
ρ in Mg/m³: 3.05

The structure in CIF format:
```
data_Be3SiNi
_chemical_formula_sum 'Be3 Si1 Ni1'
_space_group_name_H-M_alt 'P 1'
_space_group_IT_number 1
_cell_length_a 3.956
_cell_length_b 3.956
_cell_length_c 3.956
_cell_angle_alpha 90.00
_cell_angle_beta 90.00
_cell_angle_gamma 90.00
loop_
_space_group_symop_operation_xyz
'x,y,z'
loop_
_atom_site_label
_atom_site_type_symbol
_atom_site_fract_x
_atom_site_fract_y
_atom_site_fract_z
Be1 Be 0.000 0.000 0.500
Be2 Be 0.000 0.500 0.000
Be3 Be 0.500 0.000 0.000
Si1 Si 0.500 0.500 0.500
Ni1 Ni 0.000 0.000 0.000
```

(11)
Be5SiNi6: optimized geometry, PBE-GGA.

Properties
Formation energy without anion corrections in eV/atom: -0.487
ρ in Mg/m³: 6.31

The structure in CIF format:
```
data_Be5SiNi6
_chemical_formula_sum 'Be5 Si1 Ni6'
_space_group_name_H-M_alt 'P 1'
_space_group_IT_number 1
_cell_length_a 3.768
_cell_length_b 5.263
_cell_length_c 5.950
_cell_angle_alpha 90.00
_cell_angle_beta 71.54
_cell_angle_gamma 90.00
loop_
_space_group_symop_operation_xyz
'x,y,z'
loop_
_atom_site_label
_atom_site_type_symbol
_atom_site_fract_x
_atom_site_fract_y
_atom_site_fract_z
Be1 Be 0.000 0.500 0.000
Be2 Be 0.331 0.000 0.338
Be3 Be 0.669 0.000 0.662
Be4 Be 0.666 0.500 0.668
Be5 Be 0.334 0.500 0.332
Ni1 Ni 0.169 0.747 0.663
Ni2 Ni 0.500 0.255 0.000
Ni3 Ni 0.169 0.253 0.663
Ni4 Ni 0.831 0.747 0.337
Ni5 Ni 0.831 0.253 0.337
Ni6 Ni 0.500 0.745 0.000
Si1 Si 0.000 0.000 0.000
```

(12)
BeSi2Ni: optimized geometry, PBE-GGA.

Properties
Formation energy without anion corrections in eV/atom: -0.086
ρ in Mg/m³: 4.36

The structure in CIF format:
```
data_BeSi2Ni
_chemical_formula_sum 'Be1 Si2 Ni1'
_space_group_name_H-M_alt 'P 1'
_space_group_IT_number 1
_cell_length_a 3.527
_cell_length_b 3.249
_cell_length_c 4.425
_cell_angle_alpha 68.49
_cell_angle_beta 90.00
_cell_angle_gamma 90.00
loop_
_space_group_symop_operation_xyz
'x,y,z'
loop_
_atom_site_label
_atom_site_type_symbol
_atom_site_fract_x
_atom_site_fract_y
_atom_site_fract_z
Be1 Be 0.000 0.705 0.464
Si1 Si 0.500 0.262 0.349
Si2 Si 0.000 0.984 0.910
Ni1 Ni 0.500 0.549 0.777
```

| no. | V (Å³/atom) |
| --- | --- |
| 1 | 20.36 |
| 2 | 27.05 |
| 3 | 14.86 |
| 4 | 16.12 |
| 5 | 9.73 |
| 6 | 10.42 |
| 7 | 10.50 |
| 8 | 10.45 |
| 9 | 11.05 |
| 10 | 12.38 |
| 11 | 9.33 |
| 12 | 11.79 |